First-principles (PBE-GGA) data for an optimized crystal structure of ZnPbCl, as listed in Alexandria via LeMat-Bulk.

The structure in CIF format:
```
data_ZnPbCl
_chemical_formula_sum 'Zn4 Pb4 Cl4'
_cell_length_a 3.4475
_cell_length_b 6.3076
_cell_length_c 14.8730
_cell_angle_alpha 90.00
_cell_angle_beta 90.00
_cell_angle_gamma 90.00
_symmetry_space_group_name_H-M 'F m m 2'
_symmetry_Int_Tables_number 42
_symmetry_space_group_name_Hall 'F 2 -2'
loop_
_atom_site_label
_atom_site_fract_x
_atom_site_fract_y
_atom_site_fract_z
_atom_site_occupancy
Zn1 0.0000 0.0000 0.0000 1
Pb1 0.0000 0.0000 0.6616 1
Cl1 0.0000 0.0000 0.3894 1
```

Properties
As for the density of states at the Fermi level: 0.41 states/eV/atom. The total energy comes out at -31.113 eV/cell. The energy above the most stable polymorph in this dataset comes out at 38 meV/atom. For the formation energy without anion corrections, the calculation gives -0.949 eV/f.u.